(1)
A geometry-optimized CaGa2Pb2Au7 structure. Source: Alexandria, functional PBE.

As for the symmetry: C2/m (12).

a b c (Å): 4.3803 4.3803 13.9485
angles (deg): 85.20 85.20 86.25
With the nearest neighbours (Å) after each atom.
Fractional positions:
Au (0.5000, 0.5000, 0.0000)  4 Ca 2.99-3.20, 8 Au 3.05-3.07
Au (0.6619, 0.6619, 0.5588)  1 Ga 2.56, 1 Au 2.79
Au (0.4629, 0.9648, 0.1543)  2 Ga 2.62-2.63
Au (0.5371, 0.0352, 0.8457)  2 Ga 2.62-2.63
Au (0.9648, 0.4629, 0.1543)  2 Ga 2.62-2.63
Au (0.3381, 0.3381, 0.4412)  1 Ga 2.56, 1 Au 2.79
Au (0.0352, 0.5371, 0.8457)  2 Ga 2.62-2.63
Ga (0.4401, 0.4401, 0.2584)  5 Au 2.56-2.63
Ga (0.5599, 0.5599, 0.7416)  5 Au 2.56-2.63
Ca (0.0000, 0.0000, 0.0000)  12 Au 2.99-3.20
Pb (0.9151, 0.9151, 0.3668)  4 Au 2.97-3.19
Pb (0.0849, 0.0849, 0.6332)  4 Au 2.97-3.19

(2)
A geometry-optimized CaGaPbAu structure. Source: Alexandria, functional PBE.

As for the symmetry: F-43m (216).

a b c (Å): 5.1288 5.1288 5.1288
angles (deg): 60.00 60.00 60.00
With the nearest neighbours (Å) after each atom.
Fractional positions:
Au (0.2500, 0.2500, 0.2500)  4 Pb 3.14, 4 Ca 3.14
Pb (0.5000, 0.5000, 0.5000)  4 Au 3.14, 4 Ga 3.14
Ga (0.7500, 0.7500, 0.7500)  4 Ca 3.14, 4 Pb 3.14
Ca (0.0000, 0.0000, 0.0000)  4 Ga 3.14, 4 Au 3.14

(3)
A geometry-optimized Ca2GaPd2Au5 structure. Source: Alexandria, functional PBE.

As for the symmetry: P4/mbm (127).

a b c (Å): 4.0039 9.9955 9.9955
angles (deg): 90.00 90.00 90.00
With the nearest neighbours (Å) after each atom.
Fractional positions:
Pd (0.0000, 0.1307, 0.6307)  6 Au 2.72-2.75, 3 Ca 2.81-3.04
Pd (0.0000, 0.8693, 0.3693)  6 Au 2.72-2.75, 3 Ca 2.81-3.04
Pd (0.0000, 0.3693, 0.1307)  6 Au 2.72-2.75, 3 Ca 2.81-3.04
Pd (0.0000, 0.6307, 0.8693)  6 Au 2.72-2.75, 3 Ca 2.81-3.04
Ca (0.0000, 0.1707, 0.3293)  3 Pd 2.81-3.04, 2 Au 3.14
Ca (0.0000, 0.3293, 0.8293)  3 Pd 2.81-3.04, 2 Au 3.14
Ca (0.0000, 0.6707, 0.1707)  3 Pd 2.81-3.04, 2 Au 3.14
Ca (0.0000, 0.8293, 0.6707)  3 Pd 2.81-3.04, 2 Au 3.14
Au (0.5000, 0.0000, 0.5000)  4 Pd 2.72
Au (0.5000, 0.5000, 0.0000)  4 Pd 2.72
Au (0.5000, 0.5566, 0.6960)  2 Pd 2.75, 2 Ga 2.86, 2 Au 2.88
Au (0.5000, 0.1960, 0.0566)  2 Pd 2.75, 2 Ga 2.86, 2 Au 2.88
Au (0.5000, 0.9434, 0.1960)  2 Pd 2.75, 2 Ga 2.86, 2 Au 2.88
Au (0.5000, 0.4434, 0.3040)  2 Pd 2.75, 2 Ga 2.86, 2 Au 2.88
Au (0.5000, 0.0566, 0.8040)  2 Pd 2.75, 2 Ga 2.86, 2 Au 2.88
Au (0.5000, 0.3040, 0.5566)  2 Pd 2.75, 2 Ga 2.86, 2 Au 2.88
Au (0.5000, 0.8040, 0.9434)  2 Pd 2.75, 2 Ga 2.86, 2 Au 2.88
Au (0.5000, 0.6960, 0.4434)  2 Pd 2.75, 2 Ga 2.86, 2 Au 2.88
Ga (0.0000, 0.0000, 0.0000)  8 Au 2.86
Ga (0.0000, 0.5000, 0.5000)  8 Au 2.86

(4)
A geometry-optimized Ca2Ga4Pd3Au structure. Source: Alexandria, functional PBE.

As for the symmetry: P-4m2 (115).

a b c (Å): 4.4253 4.4253 10.1320
angles (deg): 90.00 90.00 90.00
With the nearest neighbours (Å) after each atom.
Fractional positions:
Pd (0.0000, 0.0000, 0.5000)  4 Ga 2.58
Pd (0.0000, 0.5000, 0.1257)  5 Ga 2.47-2.55
Pd (0.5000, 0.0000, 0.8743)  5 Ga 2.47-2.55
Ca (0.5000, 0.0000, 0.2512)  8 Ga 3.35-3.37, 6 Pd 3.35-3.38, 2 Au 3.35
Ca (0.0000, 0.5000, 0.7488)  8 Ga 3.35-3.37, 2 Au 3.35, 6 Pd 3.35-3.38
Au (0.5000, 0.5000, 0.5000)  4 Ga 2.58
Ga (0.0000, 0.5000, 0.3690)  3 Pd 2.47-2.58, 2 Au 2.58
Ga (0.5000, 0.0000, 0.6310)  3 Pd 2.47-2.58, 2 Au 2.58
Ga (0.5000, 0.5000, 0.0000)  4 Pd 2.55
Ga (0.0000, 0.0000, 0.0000)  4 Pd 2.55

(5)
A geometry-optimized Ca2Ga4PdAu3 structure. Source: Alexandria, functional PBE.

As for the symmetry: P-4m2 (115).

a b c (Å): 4.2273 4.2273 11.4072
angles (deg): 90.00 90.00 90.00
With the nearest neighbours (Å) after each atom.
Fractional positions:
Au (0.5000, 0.0000, 0.8547)  5 Ga 2.55-2.69
Au (0.0000, 0.0000, 0.5000)  4 Ga 2.59
Au (0.0000, 0.5000, 0.1453)  5 Ga 2.55-2.69
Ca (0.0000, 0.5000, 0.7465)  6 Au 3.23-3.52, 8 Ga 3.27-3.58, 2 Pd 3.52
Ca (0.5000, 0.0000, 0.2535)  6 Au 3.23-3.52, 8 Ga 3.27-3.58, 2 Pd 3.52
Pd (0.5000, 0.5000, 0.5000)  4 Ga 2.59
Ga (0.5000, 0.0000, 0.6307)  3 Au 2.55-2.59, 2 Pd 2.59
Ga (0.0000, 0.5000, 0.3693)  3 Au 2.55-2.59, 2 Pd 2.59
Ga (0.5000, 0.5000, 0.0000)  4 Au 2.69, 4 Ga 2.99
Ga (0.0000, 0.0000, 0.0000)  4 Au 2.69, 4 Ga 2.99

(6)
A geometry-optimized CaGa3PdAu structure. Source: Alexandria, functional PBE.

As for the symmetry: Cmcm (63).

a b c (Å): 5.8314 6.3414 7.1626
angles (deg): 116.27 90.00 90.00
With the nearest neighbours (Å) after each atom.
Fractional positions:
Ga (0.0000, 0.3016, 0.0000)  1 Ga 2.52, 2 Pd 2.54, 2 Au 2.82
Ga (0.7500, 0.8605, 0.7210)  1 Au 2.57, 1 Pd 2.62
Ga (0.5000, 0.3016, 0.0000)  1 Ga 2.52, 2 Pd 2.54, 2 Au 2.82
Ga (0.2500, 0.1395, 0.2790)  1 Au 2.57, 1 Pd 2.62
Ga (0.5000, 0.6984, 0.0000)  1 Ga 2.52, 2 Pd 2.54, 2 Au 2.82
Ga (0.0000, 0.6984, 0.0000)  1 Ga 2.52, 2 Pd 2.54, 2 Au 2.82
Ca (0.2500, 0.7175, 0.4351)  1 Pd 2.80, 2 Au 3.01
Ca (0.7500, 0.2825, 0.5649)  1 Pd 2.80, 2 Au 3.01
Pd (0.2500, 0.9358, 0.8716)  5 Ga 2.54-2.62, 1 Ca 2.80
Pd (0.7500, 0.0642, 0.1284)  5 Ga 2.54-2.62, 1 Ca 2.80
Au (0.2500, 0.3399, 0.6799)  5 Ga 2.57-2.82
Au (0.7500, 0.6601, 0.3201)  5 Ga 2.57-2.82

The records above yield magnetization values of 0.0; 0.0; 0.0; 0.0; 0.0; 0.0 Bohr magnetons per cell, respectively.
The records above yield raw total energy values of -3.439; -3.372; -3.898; -4.176; -3.721; -3.685 eV/atom, respectively.
The records above yield ΔH_f (0 K) values of -0.238; -0.368; -0.518; -0.679; -0.608; -0.426 eV per atom, respectively.